Below is a geometry-optimized BaLi2In4Hg structure, with properties calculated at the PBE-GGA level.

SG = R-3m, No. 166
Magnetization = 0.000 Bohr magnetons per cell
E_tot = -2.39 eV per atom

```
BaLi2In4Hg
1.0
2.4209 1.3977 10.7426
-2.4209 1.3977 10.7426
0.0000 -2.7954 10.7426
Ba Li In Hg
1 2 4 1
Direct
0.0000 0.0000 0.0000 Ba
0.2080 0.2080 0.2080 Li
0.7920 0.7920 0.7920 Li
0.1125 0.1125 0.1125 In
0.4057 0.4057 0.4057 In
0.5943 0.5943 0.5943 In
0.8875 0.8875 0.8875 In
0.5000 0.5000 0.5000 Hg
```

---

Below is a geometry-optimized BaLiIn2Hg2 structure, with properties calculated at the PBE-GGA level.

SG = P-3m1, No. 164
Magnetization = 0.000 Bohr magnetons per cell
E_tot = -2.02 eV per atom

```
BaLiIn2Hg2
1.0
4.9594 0.0000 0.0000
-2.4797 4.2950 0.0000
0.0000 0.0000 8.0131
Ba Li In Hg
1 1 2 2
Direct
0.0000 0.0000 0.0000 Ba
0.0000 0.0000 0.5000 Li
0.3333 0.6667 0.3194 In
0.6667 0.3333 0.6806 In
0.3333 0.6667 0.7094 Hg
0.6667 0.3333 0.2906 Hg
```

---

Below is a geometry-optimized BaLiInHg2 structure, with properties calculated at the PBE-GGA level.

Energy above the most stable polymorph in this dataset = 0.0 meV per atom
SG = I-4m2, No. 119
Magnetization = 0.000 Bohr magnetons per cell
E_tot = -1.83 eV per atom

```
BaLiInHg2
1.0
-2.3258 2.3258 6.6353
2.3258 -2.3258 6.6353
2.3258 2.3258 -6.6353
Ba Li In Hg
1 1 1 2
Direct
0.0000 0.0000 0.0000 Ba
0.2500 0.7500 0.5000 Li
0.7500 0.2500 0.5000 In
0.3851 0.3851 0.0000 Hg
0.6149 0.6149 0.0000 Hg
```